{
  "formula": "HoSc2NiSn3Ir2",
  "functional": "PBE",
  "state": "optimized geometry",
  "crystal_system": "orthorhombic",
  "magmom_total_mub_per_atom": 0.000,
  "energy_ev_per_atom": -6.606,
  "lattice_angstrom": [[3.569, 0.000, 0.000], [0.000, 6.523, 3.740], [0.000, -6.523, 3.740]],
  "species": ["Sc", "Sc", "Ho", "Ir", "Ir", "Ni", "Sn", "Sn", "Sn"],
  "fractional_positions": [[0.000, 0.999, 0.596], [0.000, 0.596, 0.999], [0.000, 0.403, 0.403], [0.500, 0.331, 0.672], [0.500, 0.672, 0.331], [0.000, 0.999, 0.999], [0.500, 0.996, 0.260], [0.500, 0.260, 0.996], [0.500, 0.743, 0.743]]
}